Entry from Alexandria via LeMat-Bulk: a relaxed structure of Fe2NiOs2 (PBE-GGA).

Lattice parameters (Å, degrees): 3.1422 3.1422 13.1993 90.00 90.00 90.00
Space group I4/mmm (No. 139)
Inequivalent atoms, fractional coordinates:
Fe 0.0000 0.5000 0.2500 (multiplicity 4)
Ni 0.0000 0.0000 0.0000 (multiplicity 2)
Os 0.0000 0.0000 0.4005 (multiplicity 4)

- Offset from the most stable computed form: 162 meV/atom
- Magnetic moment: 2.1 μB/f.u.
- VASP energy: -84.6 eV/cell
- Energy of formation from the pure elements: 569 meV/atom


Entry from Alexandria via LeMat-Bulk: a relaxed structure of Al2TcPd (PBE-GGA).

Lattice parameters (Å, degrees): 3.0779 3.0779 6.0564 90.00 90.00 90.00
Space group P4/mmm (No. 123)
Inequivalent atoms, fractional coordinates:
Al 0.0000 0.0000 0.2360 (multiplicity 2)
Tc 0.5000 0.5000 0.0000 (multiplicity 1)
Pd 0.5000 0.5000 0.5000 (multiplicity 1)

- Magnetic moment: 0.0 μB/f.u.
- VASP energy: -25.6 eV/cell
- Energy of formation from the pure elements: -628 meV/atom


Entry from Alexandria via LeMat-Bulk: a relaxed structure of Be2GeIrPb (PBE-GGA).

Lattice parameters (Å, degrees): 4.5044 4.5044 4.7315 90.00 90.00 90.00
Space group P4/mmm (No. 123)
Inequivalent atoms, fractional coordinates:
Be 0.0000 0.5000 0.0000 (multiplicity 2)
Ge 0.0000 0.0000 0.5000 (multiplicity 1)
Ir 0.0000 0.0000 0.0000 (multiplicity 1)
Pb 0.5000 0.5000 0.5000 (multiplicity 1)

- Magnetic moment: 0.0 μB/f.u.
- VASP energy: -23.4 eV/cell
- Energy of formation from the pure elements: 244 meV/atom


Entry from Alexandria via LeMat-Bulk: a relaxed structure of Er2InPt6 (PBE-GGA).

Lattice parameters (Å, degrees): 12.2873 8.2232 3.9439 90.00 108.63 90.00
Space group C2/m (No. 12)
Inequivalent atoms, fractional coordinates:
Er 0.1616 0.0000 0.1625 (multiplicity 4)
In 0.0000 0.5000 0.5000 (multiplicity 2)
Pt 0.0000 0.2621 0.0000 (multiplicity 4)
Pt 0.1656 0.2544 0.6658 (multiplicity 8)

- Magnetic moment: 0.0 μB/f.u.
- VASP energy: -109.2 eV/cell
- Energy of formation from the pure elements: -723 meV/atom